Ta2ZnCu | GGA-PBE | optimized geometry

abc: 2.8119 2.8119 28.4504
angles: 90.00 90.00 120.00
Space group R-3m (No. 166, hexagonal axes)
One atom of each set of equivalent atoms:
Ta (0.0000, 0.0000, 0.2478) (multiplicity 6)
Zn (0.0000, 0.0000, 0.0000) (multiplicity 3)
Cu (0.0000, 0.0000, 0.5000) (multiplicity 3)

Calculated values
**ΔH_f (0 K)**: 0.212 eV/atom
**Magnetic moment**: 0.0000 μB/atom
**DOS(E_F)**: 11.2 states/eV per cell